(1)
Compound: Tb2PrNdHo5
Source: Alexandria
Functional: PBE-GGA
Structure: relaxed

Calculated values
- symmetry = I4/mcm
- total energy (eV/atom) = -4.3626
- Fermi-level density of states (states/eV per cell) = 21.35

Cell: 8.8242 8.8242 9.7940 Å, 116.78 116.78 90.00°
With the nearest neighbours (Å) after each atom.
Positions (direct):
1 Ho 0.5717 0.6623 0.7340  1 Tb 3.01, 1 Nd 3.11
2 Ho 0.4283 0.3377 0.2660  1 Tb 3.01, 1 Nd 3.11
3 Ho 0.8377 0.9283 0.2660  1 Tb 3.01, 1 Nd 3.11
4 Tb 0.6153 0.1153 0.0000  1 Tb 2.88, 2 Ho 3.01
5 Pr 0.2500 0.2500 0.5000  10 Ho 3.63-3.77
6 Tb 0.1153 0.3847 0.0000  1 Tb 2.88, 2 Ho 3.01
7 Ho 0.0000 0.0000 0.0000  4 Tb 3.54, 8 Ho 3.75, 2 Pr 3.77
8 Nd 0.7500 0.2500 0.5000  4 Ho 3.11
9 Ho 0.6623 0.1623 0.7340  1 Tb 3.01, 1 Nd 3.11
10 Ho 0.5000 0.5000 0.0000  4 Tb 3.54, 8 Ho 3.75, 2 Pr 3.77
11 Pr 0.7500 0.7500 0.5000  10 Ho 3.63-3.77
12 Ho 0.1623 0.0717 0.7340  1 Tb 3.01, 1 Nd 3.11
13 Ho 0.0717 0.5717 0.7340  1 Tb 3.01, 1 Nd 3.11
14 Tb 0.8847 0.6153 0.0000  1 Tb 2.88, 2 Ho 3.01
15 Ho 0.9283 0.4283 0.2660  1 Tb 3.01, 1 Nd 3.11
16 Nd 0.2500 0.7500 0.5000  4 Ho 3.11
17 Tb 0.3847 0.8847 0.0000  1 Tb 2.88, 2 Ho 3.01
18 Ho 0.3377 0.8377 0.2660  1 Tb 3.01, 1 Nd 3.11

---

(2)
Compound: Tb2Pr2Nd4Ho
Source: Alexandria
Functional: PBE-GGA
Structure: relaxed

Calculated values
- symmetry = C2/m
- total energy (eV/atom) = -4.7095
- Fermi-level density of states (states/eV per cell) = 11.74

Cell: 3.6822 9.6992 9.7751 Å, 115.10 90.00 100.94°
With the nearest neighbours (Å) after each atom.
Positions (direct):
1 Nd 0.8142 0.6284 0.6669  6 Nd 3.62-3.68, 2 Pr 3.63, 1 Ho 3.63, 3 Tb 3.63-3.67
2 Tb 0.1477 0.2954 0.6667  3 Pr 3.61-3.65, 7 Nd 3.63-3.67, 2 Tb 3.68
3 Ho 0.0000 0.0000 0.0000  6 Nd 3.62-3.63, 4 Pr 3.65, 2 Ho 3.68
4 Nd 0.4817 0.9634 0.6668  1 Pr 3.60, 5 Nd 3.62-3.68, 2 Ho 3.62, 4 Tb 3.63-3.66
5 Pr 0.6653 0.3306 0.9979  3 Nd 3.60-3.63, 3 Tb 3.61-3.65, 2 Ho 3.65, 4 Pr 3.68-3.70
6 Nd 0.1858 0.3716 0.3331  6 Nd 3.62-3.68, 2 Pr 3.63, 1 Ho 3.63, 3 Tb 3.63-3.67
7 Nd 0.5183 0.0366 0.3332  1 Pr 3.60, 5 Nd 3.62-3.68, 2 Ho 3.62, 4 Tb 3.63-3.66
8 Tb 0.8523 0.7046 0.3333  3 Pr 3.61-3.65, 7 Nd 3.63-3.67, 2 Tb 3.68
9 Pr 0.3347 0.6694 0.0021  3 Nd 3.60-3.63, 3 Tb 3.61-3.65, 2 Ho 3.65, 4 Pr 3.68-3.70

---

(3)
Compound: Tb2Pr4NdHo
Source: Alexandria
Functional: PBE-GGA
Structure: relaxed

Calculated values
- symmetry = P2/m
- total energy (eV/atom) = -4.7005
- Fermi-level density of states (states/eV per cell) = 11.09

Cell: 3.6646 6.3189 12.0252 Å, 79.75 90.00 90.00°
With the nearest neighbours (Å) after each atom.
Positions (direct):
1 Tb 0.0000 0.0000 0.0000  6 Pr 3.65-3.66, 4 Nd 3.65, 2 Tb 3.66
2 Pr 0.0000 0.2487 0.2526  3 Tb 3.61-3.66, 1 Ho 3.61, 6 Pr 3.65-3.66, 2 Nd 3.66
3 Ho 0.0000 0.5000 0.5000  6 Pr 3.61-3.62, 4 Tb 3.65, 2 Ho 3.66
4 Tb 0.5000 0.0000 0.5000  6 Pr 3.61-3.62, 4 Ho 3.65, 2 Tb 3.66
5 Pr 0.5000 0.2503 0.7481  2 Ho 3.62, 3 Tb 3.62-3.65, 6 Pr 3.65-3.66, 1 Nd 3.66
6 Nd 0.5000 0.5000 0.0000  4 Tb 3.65, 6 Pr 3.66, 2 Nd 3.66
7 Pr 0.5000 0.7497 0.2519  2 Ho 3.62, 3 Tb 3.62-3.65, 6 Pr 3.65-3.66, 1 Nd 3.66
8 Pr 0.0000 0.7513 0.7474  3 Tb 3.61-3.66, 1 Ho 3.61, 6 Pr 3.65-3.66, 2 Nd 3.66